DFT (PBE) results for a relaxed PmTm2Pd3 crystal.

a b c (Å): 3.483 3.483 10.661
angles (deg): 90.00 90.00 90.00
Positions (direct):
Pm1 0.000 0.000 0.000
Tm1 0.000 0.000 0.338
Tm2 0.000 0.000 0.662
Pd1 0.500 0.500 0.185
Pd2 0.500 0.500 0.500
Pd3 0.500 0.500 0.815

Summary:
SG: No. 123
Fermi-level density of states, states/eV per atom: 0.71
E_form, eV/atom: -0.881
M_tot, Bohr magnetons per cell: 0.00
Uncorrected energy, eV per atom: -5.760

=====

DFT (PBE) results for a relaxed Ca2Ni5Ge3 crystal.

a b c (Å): 8.074 8.074 8.074
angles (deg): 106.42 88.53 137.99
Positions (direct):
Ca1 0.127 0.247 0.374
Ca2 0.373 0.747 0.119
Ca3 0.627 0.253 0.881
Ca4 0.873 0.753 0.626
Ni1 0.011 0.750 0.261
Ni2 0.125 0.877 0.002
Ni3 0.250 0.750 0.500
Ni4 0.375 0.377 0.752
Ni5 0.489 0.750 0.739
Ni6 0.511 0.250 0.261
Ni7 0.625 0.623 0.248
Ni8 0.750 0.250 0.500
Ni9 0.875 0.123 0.998
Ni10 0.989 0.250 0.739
Ge1 0.123 0.633 0.756
Ge2 0.250 0.250 0.000
Ge3 0.377 0.133 0.510
Ge4 0.623 0.867 0.490
Ge5 0.750 0.750 0.000
Ge6 0.877 0.367 0.244

Summary:
SG: No. 72
Fermi-level density of states, states/eV per atom: 0.83
E_form, eV/atom: -0.416
M_tot, Bohr magnetons per cell: 0.00
Distance to the lowest polymorph of the same formula, meV/atom: 0
Uncorrected energy, eV per atom: -5.093

=====

DFT (PBE) results for a relaxed Ga3AuCl crystal.

a b c (Å): 5.304 5.304 5.304
angles (deg): 90.00 90.00 90.00
Positions (direct):
Ga1 0.000 0.000 0.500
Ga2 0.000 0.500 0.000
Ga3 0.500 0.000 0.000
Au1 0.500 0.500 0.500
Cl1 0.000 0.000 0.000

Summary:
SG: No. 221
Fermi-level density of states, states/eV per atom: 0.32
M_tot, Bohr magnetons per cell: 0.00
Distance to the lowest polymorph of the same formula, meV/atom: 532
Uncorrected energy, eV per atom: -2.508

=====

DFT (PBE) results for a relaxed Pu4Se4Br3 crystal.

a b c (Å): 10.036 10.036 10.036
angles (deg): 157.92 115.69 68.89
Positions (direct):
Pu1 0.177 0.177 0.000
Pu2 0.279 0.000 0.279
Pu3 0.721 0.000 0.721
Pu4 0.823 0.823 0.000
Se1 0.064 0.389 0.676
Se2 0.287 0.611 0.676
Se3 0.713 0.389 0.324
Se4 0.936 0.611 0.324
Br1 0.311 0.811 0.500
Br2 0.500 0.500 0.000
Br3 0.689 0.189 0.500

Summary:
SG: No. 71
Fermi-level density of states, states/eV per atom: 3.82
M_tot, Bohr magnetons per cell: 21.00
Uncorrected energy, eV per atom: -8.330

=====

DFT (PBE) results for a relaxed Ba2V2Ni crystal.

a b c (Å): 10.725 10.725 10.725
angles (deg): 161.30 161.30 26.57
Positions (direct):
Ba1 0.093 0.093 0.000
Ba2 0.907 0.907 0.000
V1 0.250 0.750 0.500
V2 0.750 0.250 0.500
Ni1 0.500 0.500 0.000

Summary:
SG: No. 139
Fermi-level density of states, states/eV per atom: 1.15
E_form, eV/atom: 0.674
M_tot, Bohr magnetons per cell: 0.00
Distance to the lowest polymorph of the same formula, meV/atom: 0
Uncorrected energy, eV per atom: -4.898

=====

DFT (PBE) results for a relaxed CaTa3Pt crystal.

a b c (Å): 4.636 4.636 4.636
angles (deg): 90.00 90.00 90.00
Positions (direct):
Ca1 0.000 0.000 0.000
Ta1 0.000 0.000 0.500
Ta2 0.000 0.500 0.000
Ta3 0.500 0.000 0.000
Pt1 0.500 0.500 0.500

Summary:
SG: No. 221
Fermi-level density of states, states/eV per atom: 1.78
E_form, eV/atom: 2.474
M_tot, Bohr magnetons per cell: 0.00
Distance to the lowest polymorph of the same formula, meV/atom: 1493
Uncorrected energy, eV per atom: -6.246